Computed, not measured: CrCdSbO6 after structural relaxation at the PBE with a Hubbard U level of DFT.

The structure belongs to space group P4_2nm (No. 102); the cell edges are 4.767, 4.767 and 9.568 Å and the angles 90.00°, 90.00° and 90.00°. The inequivalent atoms are Cr at (0.000, 0.000, 0.000), Cd at (0.000, 0.000, 0.336), Sb at (0.000, 0.000, 0.673), O at (0.177, 0.177, 0.845), O at (0.210, 0.210, 0.151) and O at (0.223, 0.223, 0.525).

Its calculated volume is 12.08 Å³ per atom. As for the density of states at the Fermi level: 3.17 states/eV per cell. As for the crystal system: tetragonal. For the energy, the calculation gives -5.87 eV/atom.